(1)
## K2PaSb3O12 (PBE)

Data for an optimized crystal structure of K2PaSb3O12.

Cell: 7.4094 7.4094 19.3162 Å, 90.00 90.00 120.00°
Space group R-3m (No. 166, hexagonal axes)
Inequivalent atoms, fractional coordinates:
K  0.0000  0.0000  0.1016 (multiplicity 6)
Pa  0.0000  0.0000  0.5000 (multiplicity 3)
Sb  0.0000  0.5000  0.0000 (multiplicity 9)
O  0.0637  0.5318  0.1010 (multiplicity 18)
O  0.0644  0.5322  0.3531 (multiplicity 18)

Values from the calculation:
Its magnetization is 4.859 μB/cell. The calculation puts the volume at 17.01 Å³/atom. For the uncorrected energy, the calculation gives -6.403 eV per atom.

(2)
## K4ScPa3O12 (PBE)

Data for an optimized crystal structure of K4ScPa3O12.

Cell: 8.682 8.682 8.682 Å, 90.00 90.00 90.00°
Space group Im-3m (No. 229)
Inequivalent atoms, fractional coordinates:
K  0.250  0.250  0.250 (multiplicity 8)
Sc  0.000  0.000  0.000 (multiplicity 2)
Pa  0.000  0.000  0.500 (multiplicity 6)
O  0.000  0.000  0.252 (multiplicity 12)
O  0.000  0.250  0.500 (multiplicity 12)

Values from the calculation:
Its magnetization is 3.734 μB/cell. The calculation puts the volume at 16.36 Å³/atom. For the uncorrected energy, the calculation gives -7.761 eV per atom.

(3)
## K2ScPaO6 (PBE)

Data for an optimized crystal structure of K2ScPaO6.

Cell: 8.547 8.547 8.547 Å, 90.00 90.00 90.00°
Space group Fm-3m (No. 225)
Inequivalent atoms, fractional coordinates:
K  0.250  0.250  0.250 (multiplicity 8)
Sc  0.000  0.000  0.000 (multiplicity 4)
Pa  0.000  0.000  0.500 (multiplicity 4)
O  0.000  0.000  0.248 (multiplicity 24)

Values from the calculation:
Its magnetization is 8.218 μB/cell. The calculation puts the volume at 15.61 Å³/atom. For the uncorrected energy, the calculation gives -7.328 eV per atom.

(4)
## KScPaO6 (PBE)

Data for an optimized crystal structure of KScPaO6.

Cell: 5.9799 5.9799 4.7251 Å, 90.00 90.00 120.00°
Space group P312 (No. 149)
Inequivalent atoms, fractional coordinates:
K  0.0000  0.0000  0.0000 (multiplicity 1)
Sc  0.3333  0.6667  0.0000 (multiplicity 1)
Pa  0.6667  0.3333  0.5000 (multiplicity 1)
O  0.0015  0.4192  0.2388 (multiplicity 6)

Values from the calculation:
Its magnetization is 3.033 μB/cell. The calculation puts the volume at 16.26 Å³/atom. For the uncorrected energy, the calculation gives -7.470 eV per atom.

Number 1: E_form (uncorrected) -1.761 eV/atom. Number 2: E_form (uncorrected) -2.825 eV/atom. Number 3: E_form (uncorrected) -2.550 eV/atom. Number 4: E_form (uncorrected) -2.284 eV/atom.